The following is a DFT calculation (GGA-PBE) of an optimized crystal structure of H2Pd3Pb3.

Total magnetic moment (μB/cell): 0.0
Total energy (eV per atom): -4.277

The structure in CIF format:
```
data_H2Pd3Pb3
_chemical_formula_sum 'H8 Pd12 Pb12'
_symmetry_space_group_name_H-M 'C m c m'
_symmetry_Int_Tables_number 63
_symmetry_space_group_name_Hall '-C 2c 2'
_cell_length_a 3.2251
_cell_length_b 10.4383
_cell_length_c 16.7685
_cell_angle_alpha 90.00
_cell_angle_beta 90.00
_cell_angle_gamma 90.00
loop_
_atom_site_label
_atom_site_fract_x
_atom_site_fract_y
_atom_site_fract_z
H1 0.0000 0.1735 0.0873
Pd1 0.0000 0.3478 0.5474
Pd2 0.0000 0.4004 0.2500
Pb1 0.0000 0.0773 0.6030
Pb2 0.0000 0.3315 0.7500
```

---

The following is a DFT calculation (GGA-PBE) of an optimized crystal structure of H2Pd9Pb3.

Total magnetic moment (μB/cell): 0.0
Total energy (eV per atom): -4.865

The structure in CIF format:
```
data_H2Pd9Pb3
_chemical_formula_sum 'H2 Pd9 Pb3'
_symmetry_space_group_name_H-M 'P -3 m 1'
_symmetry_Int_Tables_number 164
_symmetry_space_group_name_Hall '-P 3 2"'
_cell_length_a 5.8619
_cell_length_b 5.8619
_cell_length_c 7.1468
_cell_angle_alpha 90.00
_cell_angle_beta 90.00
_cell_angle_gamma 120.00
loop_
_atom_site_label
_atom_site_fract_x
_atom_site_fract_y
_atom_site_fract_z
H1 0.3333 0.6667 0.3217
Pd1 0.0000 0.5000 0.5000
Pd2 0.1657 0.3313 0.1668
Pb1 0.0000 0.0000 0.5000
Pb2 0.3333 0.6667 0.8365
```

---

The following is a DFT calculation (GGA-PBE) of an optimized crystal structure of H4Pd6Pb.

Total magnetic moment (μB/cell): 0.0
Total energy (eV per atom): -4.439

The structure in CIF format:
```
data_H4Pd6Pb
_chemical_formula_sum 'H8 Pd12 Pb2'
_symmetry_space_group_name_H-M 'I -4 2 m'
_symmetry_Int_Tables_number 121
_symmetry_space_group_name_Hall 'I -4 2'
_cell_length_a 5.5648
_cell_length_b 5.5648
_cell_length_c 8.6875
_cell_angle_alpha 90.00
_cell_angle_beta 90.00
_cell_angle_gamma 90.00
loop_
_atom_site_label
_atom_site_fract_x
_atom_site_fract_y
_atom_site_fract_z
H1 0.1299 0.1299 0.1525
Pd1 0.0000 0.5000 0.0000
Pd2 0.1818 0.1818 0.7715
Pb1 0.0000 0.0000 0.5000
```